First-principles (PBE) data for crystalline Ce3Mg3Cd8 at its relaxed geometry, as listed in the Alexandria database.

* volume: 693.75 Å³/cell
* energy of formation: -0.18 eV per atom
* total energy: -64.82 eV per cell

Lattice parameters (Å, degrees): 4.9545 9.7499 14.3617 90.00 90.00 90.00
Space group Immm (No. 71)
Unique sites:
Ce  0.0000  0.0000  0.0000
Ce  0.0000  0.0000  0.2884
Mg  0.0000  0.1752  0.5000
Mg  0.0000  0.5000  0.0000
Cd  0.0000  0.2890  0.1405
Cd  0.0000  0.3580  0.3440